No. 1
A relaxed Pu5PaTe6 crystal, computed with PBE-GGA.

The structure belongs to space group C2/m (No. 12); the cell edges are 7.5361, 13.0492 and 7.7766 Å and the angles 90.00°, 108.83° and 90.00°. Symmetry generates all atoms from Pu at (0.0000, 0.0000, 0.0000), Pu at (0.0000, 0.1666, 0.5000), Pu at (0.0000, 0.3325, 0.0000), Pa at (0.0000, 0.5000, 0.5000), Te at (0.2483, 0.5000, 0.2500) and Te at (0.2490, 0.3342, 0.7495).

For the electronic total energy, the calculation gives -9.32 eV per atom.

***

No. 2
A relaxed Pu2SnRu3 crystal, computed with PBE-GGA.

The structure belongs to space group C2/c (No. 15); the cell edges are 15.9475, 5.5055 and 5.2672 Å and the angles 90.00°, 103.03° and 90.00°. Symmetry generates all atoms from Pu at (0.1769, 0.1403, 0.1992), Sn at (0.0000, 0.1702, 0.7500), Ru at (0.0000, 0.3262, 0.2500) and Ru at (0.1464, 0.3998, 0.6663).

The calculation puts the formation energy at -0.06 eV/atom. For the electronic total energy, the calculation gives -10.14 eV per atom.

***

No. 3
A relaxed SiRuBr2 crystal, computed with PBE-GGA.

The structure belongs to space group F-43m (No. 216); the cell edges are 6.7984, 6.7984 and 6.7984 Å and the angles 90.00°, 90.00° and 90.00°. Symmetry generates all atoms from Si at (0.0000, 0.0000, 0.0000), Ru at (0.2500, 0.2500, 0.2500), Br at (0.0000, 0.0000, 0.5000) and Br at (0.2500, 0.2500, 0.7500).

For the electronic total energy, the calculation gives -3.54 eV per atom.

***

No. 4
A relaxed Rb3Pu4Cl12 crystal, computed with PBE-GGA.

The structure belongs to space group Im-3 (No. 204); the cell edges are 11.0357, 11.0357 and 11.0357 Å and the angles 90.00°, 90.00° and 90.00°. Symmetry generates all atoms from Rb at (0.0000, 0.0000, 0.5000), Pu at (0.2500, 0.2500, 0.2500) and Cl at (0.0000, 0.2228, 0.2916).

For the electronic total energy, the calculation gives -6.22 eV per atom.

***

No. 5
A relaxed LiBiPCl2 crystal, computed with PBE-GGA.

The structure belongs to space group P4/mmm (No. 123); the cell edges are 5.5495, 5.5495 and 5.3780 Å and the angles 90.00°, 90.00° and 90.00°. Symmetry generates all atoms from Li at (0.0000, 0.0000, 0.0000), Bi at (0.5000, 0.5000, 0.5000), P at (0.5000, 0.5000, 0.0000) and Cl at (0.0000, 0.5000, 0.5000).

For the electronic total energy, the calculation gives -3.18 eV per atom.

***

No. 6
A relaxed AcDyY5Er2 crystal, computed with PBE-GGA.

The structure belongs to space group Cmc2_1 (No. 36); the cell edges are 5.5472, 23.7883 and 9.3676 Å and the angles 90.00°, 90.00° and 90.00°. Symmetry generates all atoms from Ac at (0.0000, 0.1025, 0.0000), Dy at (0.0000, 0.2612, 0.6082), Y at (0.0000, 0.0252, 0.3215), Y at (0.0000, 0.1048, 0.6037), Y at (0.0000, 0.1901, 0.2987), Y at (0.0000, 0.2423, 0.9358), Y at (0.0000, 0.4915, 0.0975), Er at (0.0000, 0.3290, 0.2473) and Er at (0.0000, 0.3863, 0.8581).

The calculation puts the formation energy at 0.16 eV/atom. For the electronic total energy, the calculation gives -5.41 eV per atom.

***

No. 7
A relaxed CdBiRuI2 crystal, computed with PBE-GGA.

The structure belongs to space group P4/mmm (No. 123); the cell edges are 6.3027, 6.3027 and 5.2996 Å and the angles 90.00°, 90.00° and 90.00°. Symmetry generates all atoms from Cd at (0.0000, 0.0000, 0.0000), Bi at (0.5000, 0.5000, 0.5000), Ru at (0.5000, 0.5000, 0.0000) and I at (0.0000, 0.5000, 0.5000).

For the electronic total energy, the calculation gives -2.67 eV per atom.

***

No. 8
A relaxed NbPdPt3 crystal, computed with PBE-GGA.

The structure belongs to space group Pm-3m (No. 221); the cell edges are 4.7510, 4.7510 and 4.7510 Å and the angles 90.00°, 90.00° and 90.00°. Symmetry generates all atoms from Nb at (0.0000, 0.0000, 0.0000), Pd at (0.5000, 0.5000, 0.5000) and Pt at (0.0000, 0.5000, 0.5000).

The calculation puts the formation energy at 1.43 eV/atom. For the electronic total energy, the calculation gives -5.25 eV per atom.

***

No. 9
A relaxed InGaN2 crystal, computed with PBE-GGA.

The structure belongs to space group Fm-3m (No. 225); the cell edges are 5.7409, 5.7409 and 5.7409 Å and the angles 90.00°, 90.00° and 90.00°. Symmetry generates all atoms from In at (0.0000, 0.0000, 0.0000), Ga at (0.0000, 0.0000, 0.5000) and N at (0.2500, 0.2500, 0.2500).

For the electronic total energy, the calculation gives -4.40 eV per atom.

***

No. 10
A relaxed TlTcMo2 crystal, computed with PBE-GGA.

The structure belongs to space group I-42d (No. 122); the cell edges are 7.4947, 7.4947 and 5.4827 Å and the angles 90.00°, 90.00° and 90.00°. Symmetry generates all atoms from Tl at (0.0000, 0.0000, 0.0000), Tc at (0.0000, 0.0000, 0.5000) and Mo at (0.1912, 0.2500, 0.6250).

The calculation puts the formation energy at 0.90 eV/atom. For the electronic total energy, the calculation gives -7.70 eV per atom.

***

No. 11
A relaxed Sc2CoCl crystal, computed with PBE-GGA.

The structure belongs to space group P4/mmm (No. 123); the cell edges are 3.1053, 3.1053 and 7.4815 Å and the angles 90.00°, 90.00° and 90.00°. Symmetry generates all atoms from Sc at (0.0000, 0.0000, 0.2064), Co at (0.5000, 0.5000, 0.0000) and Cl at (0.5000, 0.5000, 0.5000).

For the electronic total energy, the calculation gives -6.08 eV per atom.

***

No. 12
A relaxed Rb2BaTcO4 crystal, computed with PBE-GGA.

The structure belongs to space group I-4 (No. 82); the cell edges are 6.5054, 6.5054 and 7.8138 Å and the angles 90.00°, 90.00° and 90.00°. Symmetry generates all atoms from Rb at (0.0000, 0.0000, 0.0000), Rb at (0.0000, 0.5000, 0.2500), Ba at (0.0000, 0.5000, 0.7500), Tc at (0.0000, 0.0000, 0.5000) and O at (0.1773, 0.2253, 0.5459).

For the electronic total energy, the calculation gives -5.90 eV per atom.